Record 1
{"formula": "Nd4DyTm10", "functional": "GGA-PBE", "state": "optimized geometry", "lattice_angstrom": [[-3.3004, 0.1048, 7.1968], [-8.8060, -0.7731, 0.3288], [-0.9431, -7.8143, 4.0372]], "species": ["Tm", "Tm", "Tm", "Tm", "Tm", "Tm", "Tm", "Tm", "Tm", "Tm", "Nd", "Nd", "Nd", "Nd", "Dy"], "fractional_positions": [[0.2945, 0.7921, 0.2081], [0.2500, 0.5000, 0.5000], [0.7500, 0.5000, 0.5000], [0.2947, 0.2079, 0.7919], [0.9134, 0.7919, 0.7921], [0.4973, 0.2081, 0.2079], [0.7055, 0.2079, 0.7919], [0.5027, 0.7919, 0.7921], [0.7053, 0.7921, 0.2081], [0.0866, 0.2081, 0.2079], [0.2270, 0.5455, 0.0004], [0.7730, 0.4545, 0.9996], [0.2274, 0.9996, 0.5455], [0.7726, 0.0004, 0.4545], [0.0000, 0.0000, 0.0000]], "e_form_ev_per_fu": 4.17, "sg": "I4/mmm (139)"}


Record 2
{"formula": "TcTe2PN", "functional": "GGA-PBE", "state": "optimized geometry", "lattice_angstrom": [[5.3021, 0.0000, 0.0000], [0.0000, 5.3021, 0.0000], [0.0000, 0.0000, 3.2491]], "species": ["Te", "Te", "N", "P", "Tc"], "fractional_positions": [[0.5000, 0.0000, 0.0000], [0.0000, 0.5000, 0.0000], [0.0000, 0.0000, 0.5000], [0.0000, 0.0000, 0.0000], [0.5000, 0.5000, 0.5000]], "e_form_raw_ev_per_atom": 0.85, "sg": "P4/mmm (123)", "de_polymorph_mev_per_atom": 301}


Record 3
{"formula": "Mg2ZrBr", "functional": "GGA-PBE", "state": "optimized geometry", "lattice_angstrom": [[-1.8945, 4.7590, 3.7439], [-6.0577, 1.8765, -0.1916], [4.3320, -4.4798, 1.1913]], "species": ["Mg", "Mg", "Zr", "Br"], "fractional_positions": [[0.0138, 0.0138, 0.0000], [0.7266, 0.2266, 0.5000], [0.4791, 0.4791, 0.0000], [0.2804, 0.7804, 0.5000]], "e_form_raw_ev_per_atom": -0.11, "sg": "Imm2 (44)", "de_polymorph_mev_per_atom": 172}


Record 4
{"formula": "Rb4Pa3MoN8", "functional": "GGA-PBE", "state": "optimized geometry", "lattice_angstrom": [[7.0078, 0.0000, 0.0000], [0.0000, 7.8151, 0.5453], [-3.5039, -3.4884, 4.9663]], "species": ["Rb", "Rb", "Rb", "Rb", "N", "N", "N", "N", "N", "N", "N", "N", "Mo", "Pa", "Pa", "Pa"], "fractional_positions": [[0.5000, 0.0000, 0.5000], [0.0000, 0.0000, 0.5000], [0.5000, 0.0000, 0.0000], [0.0000, 0.0000, 0.0000], [0.2665, 0.3463, 0.0564], [0.7335, 0.6537, 0.9436], [0.7193, 0.6579, 0.4386], [0.7899, 0.3463, 0.5799], [0.2807, 0.3421, 0.5614], [0.2101, 0.6537, 0.9436], [0.7899, 0.3463, 0.0564], [0.2101, 0.6537, 0.4201], [0.0000, 0.5000, 0.0000], [0.0000, 0.5000, 0.5000], [0.5000, 0.5000, 0.0000], [0.5000, 0.5000, 0.5000]], "e_form_raw_ev_per_atom": -0.83, "sg": "R-3m (166)"}


Record 5
{"formula": "Pr3Nd2Y7", "functional": "GGA-PBE", "state": "optimized geometry", "lattice_angstrom": [[3.6276, 0.0000, 0.0000], [0.0000, 5.9078, -0.3140], [0.0000, -3.8317, 19.2843]], "species": ["Y", "Y", "Y", "Y", "Y", "Y", "Y", "Pr", "Pr", "Pr", "Nd", "Nd"], "fractional_positions": [[0.0000, 0.0000, 0.0000], [0.0000, 0.4535, 0.1426], [0.5000, 0.7189, 0.4616], [0.5000, 0.9813, 0.1734], [0.5000, 0.0187, 0.8266], [0.0000, 0.5465, 0.8574], [0.5000, 0.2811, 0.5384], [0.5000, 0.5000, 0.0000], [0.0000, 0.8566, 0.6326], [0.0000, 0.1434, 0.3674], [0.5000, 0.4192, 0.7079], [0.5000, 0.5808, 0.2921]], "e_form_ev_per_fu": 0.96, "sg": "P2/m (10)", "de_polymorph_mev_per_atom": 0}


Record 6
{"formula": "K2NaMg2Tl5", "functional": "GGA-PBE", "state": "optimized geometry", "lattice_angstrom": [[3.9899, 0.0000, 0.0000], [0.0000, 12.5428, 0.0000], [0.0000, 0.0000, 12.5428]], "species": ["Tl", "Tl", "Tl", "Tl", "Tl", "Tl", "Tl", "Tl", "Tl", "Tl", "Mg", "Mg", "Mg", "Mg", "K", "K", "K", "K", "Na", "Na"], "fractional_positions": [[0.5000, 0.8032, 0.9379], [0.5000, 0.3032, 0.5621], [0.5000, 0.0000, 0.5000], [0.5000, 0.6968, 0.4379], [0.5000, 0.5621, 0.6968], [0.5000, 0.9379, 0.1968], [0.5000, 0.0621, 0.8032], [0.5000, 0.5000, 0.0000], [0.5000, 0.4379, 0.3032], [0.5000, 0.1968, 0.0621], [0.0000, 0.6262, 0.8738], [0.0000, 0.8738, 0.3738], [0.0000, 0.1262, 0.6262], [0.0000, 0.3738, 0.1262], [0.0000, 0.1750, 0.3250], [0.0000, 0.6750, 0.1750], [0.0000, 0.8250, 0.6750], [0.0000, 0.3250, 0.8250], [0.0000, 0.5000, 0.5000], [0.0000, 0.0000, 0.0000]], "e_form_ev_per_fu": -0.55, "sg": "P4/mbm (127)"}